Entry 1:
The following is a PBE calculation of an optimized crystal structure of CsLi2MnCl8, from Alexandria via LeMat-Bulk.

Summary:
The uncorrected formation energy comes out at -1.247 eV per atom.

The structure in CIF format:
```
data_CsLi2MnCl8
_cell_length_a 5.9215
_cell_length_b 6.3458
_cell_length_c 8.7215
_cell_angle_alpha 84.55
_cell_angle_beta 79.39
_cell_angle_gamma 85.42
_symmetry_space_group_name_H-M 'P -1'
_symmetry_Int_Tables_number 2
loop_
_symmetry_equiv_pos_as_xyz
'x,y,z'
'-x,-y,-z'
loop_
_atom_site_label
_atom_site_type_symbol
_atom_site_fract_x
_atom_site_fract_y
_atom_site_fract_z
Cs1 Cs 0.0000 0.0000 0.0000
Li1 Li 0.4094 0.4876 0.7025
Mn1 Mn 0.5000 0.0000 0.5000
Cl1 Cl 0.1894 0.8328 0.6302
Cl2 Cl 0.2676 0.4928 0.9913
Cl3 Cl 0.2843 0.3174 0.4758
Cl4 Cl 0.4302 0.8984 0.2674
```

=====

Entry 2:
The following is a PBE calculation of an optimized crystal structure of Tl2CoIr, from Alexandria via LeMat-Bulk.

Summary:
For the calculated formation energy, the calculation gives 468 meV/atom.

The structure in CIF format:
```
data_Tl2CoIr
_cell_length_a 4.0739
_cell_length_b 4.0872
_cell_length_c 5.2490
_cell_angle_alpha 90.00
_cell_angle_beta 112.51
_cell_angle_gamma 90.00
_symmetry_space_group_name_H-M 'P 1 m 1'
_symmetry_Int_Tables_number 6
loop_
_symmetry_equiv_pos_as_xyz
'x,y,z'
'x,-y,z'
loop_
_atom_site_label
_atom_site_type_symbol
_atom_site_fract_x
_atom_site_fract_y
_atom_site_fract_z
Tl1 Tl 0.0000 0.0000 0.0000
Tl2 Tl 0.2976 0.5000 0.6010
Co1 Co 0.5879 0.5000 0.1772
Ir1 Ir 0.7066 0.0000 0.4184
```

=====

Entry 3:
The following is a PBE calculation of an optimized crystal structure of HoInNiRh, from Alexandria via LeMat-Bulk.

Summary:
For the calculated formation energy, the calculation gives -541 meV/atom.

The structure in CIF format:
```
data_HoInNiRh
_cell_length_a 6.5868
_cell_length_b 6.5868
_cell_length_c 6.5868
_cell_angle_alpha 90.00
_cell_angle_beta 90.00
_cell_angle_gamma 90.00
_symmetry_space_group_name_H-M 'F -4 3 m'
_symmetry_Int_Tables_number 216
_symmetry_space_group_name_Hall 'F -4 2 3'
loop_
_atom_site_label
_atom_site_type_symbol
_atom_site_fract_x
_atom_site_fract_y
_atom_site_fract_z
Ho1 Ho 0.0000 0.0000 0.0000
In1 In 0.0000 0.0000 0.5000
Ni1 Ni 0.2500 0.2500 0.2500
Rh1 Rh 0.2500 0.2500 0.7500
```

=====

Entry 4:
The following is a PBE calculation of an optimized crystal structure of CaPrSnRh, from Alexandria via LeMat-Bulk.

Summary:
For the calculated formation energy, the calculation gives -497 meV/atom.

The structure in CIF format:
```
data_CaPrSnRh
_cell_length_a 7.3908
_cell_length_b 7.3908
_cell_length_c 7.3908
_cell_angle_alpha 90.00
_cell_angle_beta 90.00
_cell_angle_gamma 90.00
_symmetry_space_group_name_H-M 'F -4 3 m'
_symmetry_Int_Tables_number 216
_symmetry_space_group_name_Hall 'F -4 2 3'
loop_
_atom_site_label
_atom_site_type_symbol
_atom_site_fract_x
_atom_site_fract_y
_atom_site_fract_z
Ca1 Ca 0.0000 0.0000 0.0000
Pr1 Pr 0.0000 0.0000 0.5000
Sn1 Sn 0.2500 0.2500 0.2500
Rh1 Rh 0.2500 0.2500 0.7500
```

=====

Entry 5:
The following is a PBE calculation of an optimized crystal structure of Nd4Si2Cl3, from Alexandria via LeMat-Bulk.

Summary:
The uncorrected formation energy comes out at -1.395 eV per atom.

The structure in CIF format:
```
data_Nd4Si2Cl3
_cell_length_a 7.3201
_cell_length_b 4.2262
_cell_length_c 17.1931
_cell_angle_alpha 90.00
_cell_angle_beta 90.07
_cell_angle_gamma 90.00
_symmetry_space_group_name_H-M 'C 1 2/m 1'
_symmetry_Int_Tables_number 12
loop_
_symmetry_equiv_pos_as_xyz
'x,y,z'
'-x,-y,-z'
'-x,y,-z'
'x,-y,z'
'x+1/2,y+1/2,z'
'-x+1/2,-y+1/2,-z'
'-x+1/2,y+1/2,-z'
'x+1/2,-y+1/2,z'
loop_
_atom_site_label
_atom_site_type_symbol
_atom_site_fract_x
_atom_site_fract_y
_atom_site_fract_z
Nd1 Nd 0.0008 0.0000 0.3014
Nd2 Nd 0.1664 0.5000 0.8885
Si1 Si 0.1672 0.5000 0.2026
Cl1 Cl 0.0000 0.0000 0.0000
Cl2 Cl 0.1656 0.5000 0.6054
```

=====

Entry 6:
The following is a PBE calculation of an optimized crystal structure of KScNiCl6, from Alexandria via LeMat-Bulk.

Summary:
The uncorrected formation energy comes out at -1.578 eV per atom.

The structure in CIF format:
```
data_KScNiCl6
_cell_length_a 6.4041
_cell_length_b 6.4041
_cell_length_c 7.0541
_cell_angle_alpha 90.00
_cell_angle_beta 90.00
_cell_angle_gamma 120.00
_symmetry_space_group_name_H-M 'P 3 1 2'
_symmetry_Int_Tables_number 149
loop_
_symmetry_equiv_pos_as_xyz
'x,y,z'
'-y,x-y,z'
'-x+y,-x,z'
'-y,-x,-z'
'-x+y,y,-z'
'x,x-y,-z'
loop_
_atom_site_label
_atom_site_type_symbol
_atom_site_fract_x
_atom_site_fract_y
_atom_site_fract_z
K1 K 0.0000 0.0000 0.0000
Sc1 Sc 0.6667 0.3333 0.5000
Ni1 Ni 0.3333 0.6667 0.5000
Cl1 Cl 0.0096 0.3757 0.6990
```

=====

Entry 7:
The following is a PBE calculation of an optimized crystal structure of LaIn2CoSe, from Alexandria via LeMat-Bulk.

Summary:
The uncorrected formation energy comes out at 0.824 eV per atom.

The structure in CIF format:
```
data_LaIn2CoSe
_cell_length_a 6.4339
_cell_length_b 6.4339
_cell_length_c 5.5377
_cell_angle_alpha 90.00
_cell_angle_beta 90.00
_cell_angle_gamma 90.00
_symmetry_space_group_name_H-M 'P 4/m m m'
_symmetry_Int_Tables_number 123
_symmetry_space_group_name_Hall '-P 4 2'
loop_
_atom_site_label
_atom_site_type_symbol
_atom_site_fract_x
_atom_site_fract_y
_atom_site_fract_z
La1 La 0.0000 0.0000 0.0000
In1 In 0.0000 0.5000 0.0000
Co1 Co 0.5000 0.5000 0.5000
Se1 Se 0.0000 0.0000 0.5000
```

=====

Entry 8:
The following is a PBE calculation of an optimized crystal structure of Al2AgAu, from Alexandria via LeMat-Bulk.

Summary:
For the calculated formation energy, the calculation gives -140 meV/atom.

The structure in CIF format:
```
data_Al2AgAu
_cell_length_a 5.7951
_cell_length_b 6.3583
_cell_length_c 3.6508
_cell_angle_alpha 90.00
_cell_angle_beta 90.00
_cell_angle_gamma 90.00
_symmetry_space_group_name_H-M 'C m m m'
_symmetry_Int_Tables_number 65
_symmetry_space_group_name_Hall '-C 2 2'
loop_
_atom_site_label
_atom_site_type_symbol
_atom_site_fract_x
_atom_site_fract_y
_atom_site_fract_z
Al1 Al 0.2500 0.2500 0.0000
Ag1 Ag 0.0000 0.0000 0.5000
Au1 Au 0.0000 0.5000 0.5000
```

=====

So what do the calculations give for calculated total energy? Going down the list: -3.63, -4.71, -5.65, -5.03, -5.33, -4.28, -3.38, -3.54 eV per atom.